No. 1
Ba3HoSb2O9: optimized geometry, PBE-GGA.

abc: 6.036 6.036 7.379
angles: 90.00 90.00 120.00
Fractional positions:
Ba  0.333  0.667  0.672
Ba  0.000  0.000  0.000
Ba  0.667  0.333  0.328
Ho  0.000  0.000  0.500
Sb  0.333  0.667  0.169
Sb  0.667  0.333  0.831
O  0.826  0.174  0.675
O  0.826  0.652  0.675
O  0.348  0.174  0.675
O  0.652  0.826  0.325
O  0.174  0.348  0.325
O  0.174  0.826  0.325
O  0.500  0.000  0.000
O  0.000  0.500  0.000
O  0.500  0.500  0.000

Calculated values
As for the formation energy (no corrections): -2431 meV per atom. The magnetic moment is 0.000 μB/atom.


No. 2
Ba4HoSb3O12: optimized geometry, PBE-GGA.

abc: 7.398 7.398 7.398
angles: 109.47 109.47 109.47
Fractional positions:
Ba  0.500  0.500  0.500
Ba  0.000  0.000  0.500
Ba  0.500  0.000  0.000
Ba  0.000  0.500  0.000
Ho  0.000  0.000  0.000
Sb  0.500  0.000  0.500
Sb  0.500  0.500  0.000
Sb  0.000  0.500  0.500
O  0.250  0.500  0.750
O  0.740  0.000  0.740
O  0.260  0.000  0.260
O  0.750  0.500  0.250
O  0.740  0.740  0.000
O  0.260  0.260  0.000
O  0.750  0.250  0.500
O  0.250  0.750  0.500
O  0.500  0.250  0.750
O  0.000  0.740  0.740
O  0.500  0.750  0.250
O  0.000  0.260  0.260

Calculated values
As for the formation energy (no corrections): -2299 meV per atom. The magnetic moment is 0.000 μB/atom.


No. 3
BaHo2ScO5: optimized geometry, PBE-GGA.

abc: 3.957 5.857 6.704
angles: 115.90 107.16 90.00
Fractional positions:
Ba  0.000  0.500  0.000
Ho  0.215  0.215  0.430
Ho  0.785  0.785  0.570
Sc  0.500  0.000  0.000
O  0.646  0.912  0.293
O  0.354  0.088  0.707
O  0.354  0.619  0.707
O  0.646  0.381  0.293
O  0.000  0.000  0.000

Calculated values
As for the formation energy (no corrections): -3168 meV per atom. The magnetic moment is 0.000 μB/atom.


No. 4
BaHoSe2O8: optimized geometry, PBE-GGA.

abc: 5.781 5.781 7.763
angles: 90.00 90.00 120.00
Fractional positions:
Ba  0.000  0.000  0.000
Ho  0.000  0.000  0.500
Se  0.667  0.333  0.245
Se  0.333  0.667  0.755
O  0.333  0.667  0.971
O  0.330  0.168  0.305
O  0.832  0.162  0.305
O  0.667  0.333  0.029
O  0.168  0.838  0.695
O  0.670  0.832  0.695
O  0.162  0.330  0.695
O  0.838  0.670  0.305

Calculated values
As for the formation energy (no corrections): -1663 meV per atom. The magnetic moment is 0.000 μB/atom.


No. 5
Ba3HoSi2O8: optimized geometry, PBE-GGA.

abc: 5.760 5.760 7.723
angles: 90.00 90.00 120.00
Fractional positions:
Ba  0.333  0.667  0.688
Ba  0.667  0.333  0.312
Ba  0.000  0.000  0.000
Ho  0.000  0.000  0.500
Si  0.333  0.667  0.230
Si  0.667  0.333  0.770
O  0.333  0.667  0.021
O  0.667  0.333  0.979
O  0.178  0.822  0.311
O  0.822  0.178  0.689
O  0.178  0.356  0.311
O  0.822  0.644  0.689
O  0.644  0.822  0.311
O  0.356  0.178  0.689

Calculated values
As for the formation energy (no corrections): -2888 meV per atom. The magnetic moment is 0.000 μB/atom.


No. 6
BaSm2HoO5: optimized geometry, PBE-GGA.

abc: 4.220 6.055 6.995
angles: 115.65 107.55 90.00
Each line ends with the local moment (μB).
Fractional positions:
Ba  0.000  0.500  0.000  0.07
Sm  0.218  0.218  0.436  0.04
Sm  0.782  0.782  0.564  0.04
Ho  0.500  0.000  0.000  0.01
O  0.647  0.909  0.294  0.01
O  0.353  0.091  0.706  0.01
O  0.353  0.615  0.706  0.01
O  0.647  0.385  0.294  0.01
O  0.000  0.000  0.000  0.00

Calculated values
As for the formation energy (no corrections): -3029 meV per atom. The magnetic moment is 0.047 μB/atom.


No. 7
Ba3HoSn2O9: optimized geometry, PBE-GGA.

abc: 6.035 6.035 7.406
angles: 90.00 90.00 120.00
Fractional positions:
Ba  0.333  0.667  0.668
Ba  0.000  0.000  0.000
Ba  0.667  0.333  0.332
Ho  0.000  0.000  0.500
Sn  0.333  0.667  0.164
Sn  0.667  0.333  0.836
O  0.828  0.172  0.676
O  0.828  0.657  0.676
O  0.343  0.172  0.676
O  0.657  0.828  0.324
O  0.172  0.343  0.324
O  0.172  0.828  0.324
O  0.500  0.000  0.000
O  0.000  0.500  0.000
O  0.500  0.500  0.000

Calculated values
As for the formation energy (no corrections): -2399 meV per atom. The magnetic moment is 0.022 μB/atom.


No. 8
Ba2HoSnO6: optimized geometry, PBE-GGA.

abc: 6.093 6.093 6.092
angles: 60.02 60.01 90.00
Each line ends with the local moment (μB).
Fractional positions:
Ba  0.250  0.750  0.500  -0.01
Ba  0.750  0.250  0.500  -0.01
Ho  0.000  0.000  0.000  -0.03
Sn  0.500  0.500  0.000  -0.01
O  0.258  0.742  0.000  0.14
O  0.742  0.742  0.000  0.14
O  0.258  0.258  0.484  0.14
O  0.742  0.258  0.000  0.14
O  0.258  0.258  0.000  0.14
O  0.742  0.742  0.516  0.14

Calculated values
As for the formation energy (no corrections): -2507 meV per atom. The magnetic moment is 0.096 μB/atom.